Record 1
First-principles (meta-GGA SCAN) data for a PBEsol-optimized structure of SrNiO3, as listed in Alexandria via LeMat-Bulk.

Space group ... Pnma
DOS at the Fermi energy ... 2.79 states/eV/f.u.

a b c (Å): 5.306 7.601 5.360
angles (deg): 90.00 90.00 90.00
Element x y z (fractional)
Sr 0.016 0.250 0.002
Sr 0.484 0.750 0.502
Sr 0.516 0.250 0.498
Sr 0.984 0.750 0.998
Ni 0.000 0.000 0.500
Ni 0.000 0.500 0.500
Ni 0.500 0.000 0.000
Ni 0.500 0.500 0.000
O 0.006 0.250 0.540
O 0.225 0.520 0.774
O 0.225 0.980 0.774
O 0.275 0.020 0.274
O 0.275 0.480 0.274
O 0.494 0.750 0.040
O 0.506 0.250 0.960
O 0.725 0.520 0.726
O 0.725 0.980 0.726
O 0.775 0.020 0.226
O 0.775 0.480 0.226
O 0.994 0.750 0.460



Record 2
First-principles (meta-GGA SCAN) data for a PBEsol-optimized structure of SrTa2NiO, as listed in Alexandria via LeMat-Bulk.

Space group ... P4/mmm
DOS at the Fermi energy ... 4.35 states/eV/f.u.

a b c (Å): 4.443 4.443 5.925
angles (deg): 90.00 90.00 90.00
Element x y z (fractional)
Sr 0.000 0.000 0.000
Ta 0.000 0.500 0.500
Ta 0.500 0.000 0.500
Ni 0.000 0.000 0.500
O 0.500 0.500 0.000



Record 3
First-principles (meta-GGA SCAN) data for a PBEsol-optimized structure of Sr12Tm3Ni5O24, as listed in Alexandria via LeMat-Bulk.

Space group ... C2
DOS at the Fermi energy ... 8.12 states/eV/f.u.

a b c (Å): 6.608 6.608 13.347
angles (deg): 92.38 92.38 92.85
Element x y z (fractional)
Sr 0.000 0.000 0.000
Sr 0.234 0.759 0.244
Sr 0.241 0.766 0.756
Sr 0.361 0.275 0.180
Sr 0.369 0.262 0.687
Sr 0.491 0.139 0.938
Sr 0.496 0.128 0.434
Sr 0.725 0.639 0.820
Sr 0.738 0.631 0.313
Sr 0.861 0.509 0.062
Sr 0.872 0.504 0.566
Sr 0.999 0.001 0.500
Tm 0.372 0.628 0.500
Tm 0.863 0.133 0.751
Tm 0.867 0.137 0.249
Ni 0.114 0.389 0.877
Ni 0.119 0.381 0.374
Ni 0.362 0.638 0.000
Ni 0.611 0.886 0.123
Ni 0.619 0.881 0.626
O 0.021 0.425 0.222
O 0.030 0.431 0.739
O 0.077 0.668 0.918
O 0.080 0.664 0.418
O 0.155 0.103 0.834
O 0.159 0.098 0.329
O 0.195 0.352 0.012
O 0.213 0.336 0.526
O 0.332 0.923 0.082
O 0.336 0.920 0.582
O 0.390 0.474 0.860
O 0.401 0.466 0.351
O 0.526 0.610 0.140
O 0.534 0.599 0.649
O 0.569 0.970 0.261
O 0.575 0.979 0.778
O 0.648 0.805 0.988
O 0.664 0.787 0.474
O 0.698 0.166 0.103
O 0.706 0.167 0.604
O 0.833 0.294 0.396
O 0.834 0.302 0.897
O 0.897 0.845 0.166
O 0.902 0.841 0.671



Record 4
First-principles (meta-GGA SCAN) data for a PBEsol-optimized structure of Sr2V11NiO22, as listed in Alexandria via LeMat-Bulk.

Space group ... P-6m2
DOS at the Fermi energy ... 13.58 states/eV/f.u.

a b c (Å): 5.711 5.711 13.109
angles (deg): 90.00 90.00 120.00
Element x y z (fractional)
Sr 0.000 0.000 0.000
Sr 0.333 0.667 0.500
V 0.000 0.000 0.500
V 0.162 0.325 0.251
V 0.162 0.325 0.749
V 0.162 0.838 0.251
V 0.162 0.838 0.749
V 0.667 0.333 0.096
V 0.667 0.333 0.398
V 0.667 0.333 0.602
V 0.667 0.333 0.904
V 0.675 0.838 0.251
V 0.675 0.838 0.749
Ni 0.333 0.667 0.000
O 0.000 0.000 0.344
O 0.000 0.000 0.656
O 0.010 0.505 0.333
O 0.010 0.505 0.667
O 0.326 0.163 0.170
O 0.326 0.163 0.830
O 0.333 0.667 0.174
O 0.333 0.667 0.826
O 0.365 0.182 0.500
O 0.495 0.505 0.333
O 0.495 0.505 0.667
O 0.495 0.990 0.333
O 0.495 0.990 0.667
O 0.519 0.039 0.000
O 0.519 0.481 0.000
O 0.818 0.182 0.500
O 0.818 0.635 0.500
O 0.837 0.163 0.170
O 0.837 0.163 0.830
O 0.837 0.674 0.170
O 0.837 0.674 0.830
O 0.961 0.481 0.000



Record 5
First-principles (meta-GGA SCAN) data for a PBEsol-optimized structure of Ni3TeO6, as listed in Alexandria via LeMat-Bulk.

Space group ... R3

a b c (Å): 5.410 5.410 5.410
angles (deg): 56.04 56.04 56.04
Element x y z (fractional)
Ni 0.000 0.000 0.000
Ni 0.204 0.204 0.204
Ni 0.496 0.496 0.496
Te 0.698 0.698 0.698
O 0.089 0.800 0.414
O 0.305 0.600 0.904
O 0.414 0.089 0.800
O 0.600 0.904 0.305
O 0.800 0.414 0.089
O 0.904 0.305 0.600



Record 6
First-principles (meta-GGA SCAN) data for a PBEsol-optimized structure of NiTe6O13, as listed in Alexandria via LeMat-Bulk.

Space group ... R-3
DOS at the Fermi energy ... 0.00 states/eV/f.u.

a b c (Å): 8.515 8.515 8.515
angles (deg): 72.17 72.17 72.17
Element x y z (fractional)
Ni 0.244 0.244 0.244
Ni 0.756 0.756 0.756
Te 0.024 0.916 0.330
Te 0.084 0.670 0.976
Te 0.167 0.484 0.570
Te 0.330 0.024 0.916
Te 0.430 0.833 0.516
Te 0.484 0.570 0.167
Te 0.516 0.430 0.833
Te 0.570 0.167 0.484
Te 0.670 0.976 0.084
Te 0.833 0.516 0.430
Te 0.916 0.330 0.024
Te 0.976 0.084 0.670
O 0.050 0.386 0.133
O 0.104 0.414 0.400
O 0.119 0.874 0.798
O 0.126 0.202 0.881
O 0.133 0.050 0.386
O 0.202 0.703 0.451
O 0.202 0.881 0.126
O 0.297 0.549 0.798
O 0.386 0.133 0.050
O 0.400 0.104 0.414
O 0.414 0.400 0.104
O 0.416 0.416 0.416
O 0.451 0.202 0.703
O 0.549 0.798 0.297
O 0.584 0.584 0.584
O 0.586 0.600 0.896
O 0.600 0.896 0.586
O 0.614 0.867 0.950
O 0.703 0.451 0.202
O 0.798 0.119 0.874
O 0.798 0.297 0.549
O 0.867 0.950 0.614
O 0.874 0.798 0.119
O 0.881 0.126 0.202
O 0.896 0.586 0.600
O 0.950 0.614 0.867



Record 7
First-principles (meta-GGA SCAN) data for a PBEsol-optimized structure of NiTeO4, as listed in Alexandria via LeMat-Bulk.

Space group ... P2_1/c
DOS at the Fermi energy ... 0.12 states/eV/f.u.

a b c (Å): 5.537 4.606 5.601
angles (deg): 90.00 113.88 90.00
Element x y z (fractional)
Ni 0.000 0.000 0.000
Ni 0.000 0.500 0.500
Te 0.500 0.000 0.500
Te 0.500 0.500 0.000
O 0.171 0.201 0.349
O 0.171 0.299 0.849
O 0.339 0.720 0.667
O 0.339 0.780 0.167
O 0.661 0.220 0.833
O 0.661 0.280 0.333
O 0.829 0.701 0.151
O 0.829 0.799 0.651



Record 8
First-principles (meta-GGA SCAN) data for a PBEsol-optimized structure of Ni3TeO, as listed in Alexandria via LeMat-Bulk.

Space group ... Pm-3m
DOS at the Fermi energy ... 2.46 states/eV/f.u.

a b c (Å): 3.941 3.941 3.941
angles (deg): 90.00 90.00 90.00
Element x y z (fractional)
Ni 0.000 0.000 0.500
Ni 0.000 0.500 0.000
Ni 0.500 0.000 0.000
Te 0.500 0.500 0.500
O 0.000 0.000 0.000



Record 9
First-principles (meta-GGA SCAN) data for a PBEsol-optimized structure of Ni2Te3O8, as listed in Alexandria via LeMat-Bulk.

Space group ... C2/c
DOS at the Fermi energy ... 0.00 states/eV/f.u.

a b c (Å): 6.631 6.631 11.276
angles (deg): 97.98 97.98 45.56
Element x y z (fractional)
Ni 0.058 0.416 0.356
Ni 0.416 0.058 0.856
Ni 0.584 0.942 0.144
Ni 0.942 0.584 0.644
Te 0.061 0.677 0.947
Te 0.198 0.802 0.250
Te 0.323 0.939 0.553
Te 0.677 0.061 0.447
Te 0.802 0.198 0.750
Te 0.939 0.323 0.053
O 0.044 0.733 0.372
O 0.047 0.124 0.358
O 0.124 0.047 0.858
O 0.155 0.451 0.799
O 0.259 0.277 0.028
O 0.267 0.956 0.128
O 0.277 0.259 0.528
O 0.451 0.155 0.299
O 0.549 0.845 0.701
O 0.723 0.741 0.472
O 0.733 0.044 0.872
O 0.741 0.723 0.972
O 0.845 0.549 0.201
O 0.876 0.953 0.142
O 0.953 0.876 0.642
O 0.956 0.267 0.628



Record 10
First-principles (meta-GGA SCAN) data for a PBEsol-optimized structure of NiTeO4, as listed in Alexandria via LeMat-Bulk.

Space group ... P2/m

a b c (Å): 4.862 3.079 5.230
angles (deg): 90.00 109.47 90.00
Element x y z (fractional)
Ni 0.000 0.000 0.000
Te 0.000 0.500 0.500
O 0.202 0.500 0.243
O 0.229 0.000 0.726
O 0.771 0.000 0.274
O 0.798 0.500 0.757



Record 11
First-principles (meta-GGA SCAN) data for a PBEsol-optimized structure of Ni5Te2O12, as listed in Alexandria via LeMat-Bulk.

Space group ... C2
DOS at the Fermi energy ... 5.21 states/eV/f.u.

a b c (Å): 5.120 5.120 9.649
angles (deg): 96.67 96.67 121.03
Element x y z (fractional)
Ni 0.000 0.000 0.000
Ni 0.431 0.031 0.235
Ni 0.527 0.473 0.500
Ni 0.862 0.138 0.500
Ni 0.969 0.569 0.765
Te 0.194 0.806 0.500
Te 0.672 0.328 0.000
O 0.018 0.734 0.115
O 0.164 0.089 0.389
O 0.229 0.536 0.617
O 0.266 0.982 0.885
O 0.382 0.315 0.122
O 0.464 0.771 0.383
O 0.580 0.193 0.612
O 0.685 0.618 0.878
O 0.739 0.075 0.115
O 0.807 0.420 0.388
O 0.911 0.836 0.611
O 0.925 0.261 0.885



Record 12
First-principles (meta-GGA SCAN) data for a PBEsol-optimized structure of NiTe2O5, as listed in Alexandria via LeMat-Bulk.

Space group ... Pnma
DOS at the Fermi energy ... 0.00 states/eV/f.u.

a b c (Å): 8.862 12.023 8.187
angles (deg): 90.00 90.00 90.00
Element x y z (fractional)
Ni 0.014 0.124 0.015
Ni 0.014 0.376 0.015
Ni 0.486 0.624 0.515
Ni 0.486 0.876 0.515
Ni 0.514 0.124 0.485
Ni 0.514 0.376 0.485
Ni 0.986 0.624 0.985
Ni 0.986 0.876 0.985
Te 0.111 0.250 0.692
Te 0.154 0.510 0.346
Te 0.154 0.990 0.346
Te 0.170 0.750 0.669
Te 0.330 0.250 0.169
Te 0.346 0.010 0.846
Te 0.346 0.490 0.846
Te 0.389 0.750 0.192
Te 0.611 0.250 0.808
Te 0.654 0.510 0.154
Te 0.654 0.990 0.154
Te 0.670 0.750 0.831
Te 0.830 0.250 0.331
Te 0.846 0.010 0.654
Te 0.846 0.490 0.654
Te 0.889 0.750 0.308
O 0.006 0.624 0.416
O 0.006 0.876 0.416
O 0.040 0.750 0.136
O 0.112 0.250 0.161
O 0.115 0.513 0.117
O 0.115 0.987 0.117
O 0.153 0.627 0.817
O 0.153 0.873 0.817
O 0.190 0.122 0.859
O 0.190 0.378 0.859
O 0.310 0.622 0.359
O 0.310 0.878 0.359
O 0.347 0.127 0.317
O 0.347 0.373 0.317
O 0.385 0.013 0.617
O 0.385 0.487 0.617
O 0.388 0.750 0.661
O 0.460 0.250 0.636
O 0.494 0.124 0.916
O 0.494 0.376 0.916
O 0.506 0.624 0.084
O 0.506 0.876 0.084
O 0.540 0.750 0.364
O 0.612 0.250 0.339
O 0.615 0.513 0.383
O 0.615 0.987 0.383
O 0.653 0.627 0.683
O 0.653 0.873 0.683
O 0.690 0.122 0.641
O 0.690 0.378 0.641
O 0.810 0.622 0.141
O 0.810 0.878 0.141
O 0.847 0.127 0.183
O 0.847 0.373 0.183
O 0.885 0.013 0.883
O 0.885 0.487 0.883
O 0.888 0.750 0.839
O 0.960 0.250 0.864
O 0.994 0.124 0.584
O 0.994 0.376 0.584



Asked for total energy across the records above, the calculation gives -13.259; -34.651; -17.571; -13.537; -13.587; -17.157; -14.239; -18.558; -16.121; -14.098; -13.219; -16.401 eV/atom in order.
Asked for energy relative to the elements, uncorrected across the records above, the calculation gives -1.831; 0.918; -2.725; -2.698; -1.271; -1.123; -1.181; -0.158; -1.201; -1.040; -1.106; -1.172 eV/atom in order.